# SiPHO2 SCAN single point on PBEsol structure
# - Mass density: 2.7 g/cm³
# - Magnetization: 0.021 μB/atom
# - Total energy: -7.87 eV per atom
data_SiPHO2
_chemical_formula_sum 'Si1 P1 H1 O2'
_cell_length_a 3.286
_cell_length_b 3.286
_cell_length_c 5.154
_cell_angle_alpha 90.00
_cell_angle_beta 90.00
_cell_angle_gamma 90.00
_space_group_name_H-M_alt 'P 4/m m m'
_space_group_IT_number 123
_space_group_name_Hall '-P 4 2'
loop_
_atom_site_label
_atom_site_type_symbol
_atom_site_fract_x
_atom_site_fract_y
_atom_site_fract_z
Si1 Si 0.000 0.000 0.000
P1 P 0.000 0.000 0.500
H1 H 0.500 0.500 0.500
O1 O 0.000 0.500 0.000